No. 1
First-principles (PBE) data for a geometry-optimized NdMg structure, as listed in OQMD via LeMat-Bulk.

POSCAR file:
```
NdMg
1.0
7.491 0.000 0.000
0.000 5.485 0.000
-1.714 0.000 8.549
Nd Mg
6 6
Direct
0.031 0.250 0.131
0.222 0.250 0.768
0.305 0.750 0.202
0.695 0.250 0.798
0.778 0.750 0.232
0.969 0.750 0.869
0.147 0.750 0.532
0.404 0.250 0.437
0.472 0.750 0.879
0.528 0.250 0.121
0.596 0.750 0.563
0.853 0.250 0.468
```

Summary:
total DFT energy (no corrections): -3.1510 eV/atom
symmetry: P2_1/m, No. 11
calculated density: 4.8 g/cm³

No. 2
First-principles (PBE) data for a geometry-optimized NaZrTe3Au structure, as listed in OQMD via LeMat-Bulk.

POSCAR file:
```
NaZrTe3Au
1.0
2.034 -7.427 0.000
2.034 7.427 0.000
0.000 0.000 11.042
Na Zr Te Au
2 2 6 2
Direct
0.225 0.775 0.750
0.775 0.225 0.250
0.000 0.000 0.000
0.000 0.000 0.500
0.088 0.912 0.250
0.360 0.640 0.043
0.360 0.640 0.457
0.640 0.360 0.543
0.640 0.360 0.957
0.912 0.088 0.750
0.459 0.541 0.250
0.541 0.459 0.750
```

Summary:
total DFT energy (no corrections): -4.4450 eV/atom
symmetry: Cmcm, No. 63
calculated density: 6.9 g/cm³

No. 3
First-principles (PBE) data for a geometry-optimized Re4Ni25 structure, as listed in OQMD via LeMat-Bulk.

POSCAR file:
```
Re4Ni25
1.0
-4.318 4.318 4.318
4.318 -4.318 4.318
4.318 4.318 -4.318
Re Ni
4 25
Direct
0.000 0.000 0.641
0.000 0.641 0.000
0.359 0.359 0.359
0.641 0.000 0.000
0.000 0.000 0.000
0.000 0.190 0.375
0.000 0.375 0.190
0.000 0.409 0.684
0.000 0.684 0.409
0.186 0.810 0.810
0.190 0.000 0.375
0.190 0.375 0.000
0.275 0.591 0.591
0.316 0.316 0.725
0.316 0.725 0.316
0.375 0.000 0.190
0.375 0.190 0.000
0.409 0.000 0.684
0.409 0.684 0.000
0.591 0.275 0.591
0.591 0.591 0.275
0.625 0.625 0.814
0.625 0.814 0.625
0.684 0.000 0.409
0.684 0.409 0.000
0.725 0.316 0.316
0.810 0.186 0.810
0.810 0.810 0.186
0.814 0.625 0.625
```

Summary:
formation energy: 0.060 eV per atom
symmetry: I-43m, No. 217
calculated density: 11.4 g/cm³

No. 4
First-principles (PBE) data for a geometry-optimized Mg4InGaPd2 structure, as listed in OQMD via LeMat-Bulk.

POSCAR file:
```
Mg4InGaPd2
1.0
4.570 0.000 0.000
-2.285 3.958 0.000
0.000 0.000 8.559
Mg In Ga Pd
4 1 1 2
Direct
0.000 0.000 0.168
0.000 0.000 0.832
0.333 0.667 0.327
0.333 0.667 0.673
0.667 0.333 0.500
0.667 0.333 0.000
0.000 0.000 0.500
0.333 0.667 0.000
```

Summary:
total DFT energy (no corrections): -3.2393 eV/atom
symmetry: P-6m2, No. 187
calculated density: 5.3 g/cm³

No. 5
First-principles (PBE) data for a geometry-optimized GdGeIr structure, as listed in OQMD via LeMat-Bulk.

POSCAR file:
```
GdGeIr
1.0
0.000 3.211 3.211
3.211 0.000 3.211
3.211 3.211 0.000
Gd Ge Ir
1 1 1
Direct
0.000 0.000 0.000
0.500 0.500 0.500
0.250 0.250 0.250
```

Summary:
total DFT energy (no corrections): -6.6012 eV/atom
symmetry: F-43m, No. 216
calculated density: 10.6 g/cm³

No. 6
First-principles (PBE) data for a geometry-optimized GdCu2SiGe structure, as listed in OQMD via LeMat-Bulk.

POSCAR file:
```
GdCu2SiGe
1.0
-2.068 2.068 4.946
2.068 -2.068 4.946
2.068 2.068 -4.946
Gd Cu Si Ge
1 2 1 1
Direct
0.000 0.000 0.000
0.379 0.379 0.000
0.621 0.621 0.000
0.750 0.250 0.500
0.250 0.750 0.500
```

Summary:
total DFT energy (no corrections): -4.8147 eV/atom
symmetry: I-4m2, No. 119
calculated density: 7.6 g/cm³

No. 7
First-principles (PBE) data for a geometry-optimized TbZrAg structure, as listed in OQMD via LeMat-Bulk.

POSCAR file:
```
TbZrAg
1.0
0.000 3.363 3.363
3.363 0.000 3.363
3.363 3.363 0.000
Tb Zr Ag
1 1 1
Direct
0.000 0.000 0.000
0.750 0.750 0.750
0.500 0.500 0.500
```

Summary:
formation energy: 0.734 eV per atom
symmetry: F-43m, No. 216
calculated density: 7.8 g/cm³

No. 8
First-principles (PBE) data for a geometry-optimized KErCdO3 structure, as listed in OQMD via LeMat-Bulk.

POSCAR file:
```
KErCdO3
1.0
1.773 -6.529 0.000
1.773 6.529 0.000
0.000 0.000 9.067
K Er Cd O
2 2 2 6
Direct
0.181 0.819 0.750
0.819 0.181 0.250
0.500 0.500 0.000
0.500 0.500 0.500
0.098 0.902 0.250
0.902 0.098 0.750
0.110 0.890 0.021
0.110 0.890 0.479
0.479 0.521 0.250
0.521 0.479 0.750
0.890 0.110 0.521
0.890 0.110 0.979
```

Summary:
total DFT energy (no corrections): -5.6215 eV/atom
symmetry: Cmcm, No. 63
calculated density: 5.8 g/cm³

No. 9
First-principles (PBE) data for a geometry-optimized CdCoCuMo structure, as listed in OQMD via LeMat-Bulk.

POSCAR file:
```
CdCoCuMo
1.0
0.000 3.069 3.069
3.069 0.000 3.069
3.069 3.069 0.000
Cd Co Cu Mo
1 1 1 1
Direct
0.000 0.000 0.000
0.500 0.500 0.500
0.250 0.250 0.250
0.750 0.750 0.750
```

Summary:
formation energy: 0.487 eV per atom
symmetry: F-43m, No. 216
calculated density: 9.5 g/cm³

No. 10
First-principles (PBE) data for a geometry-optimized NaLaAlAu structure, as listed in OQMD via LeMat-Bulk.

POSCAR file:
```
NaLaAlAu
1.0
0.000 3.549 3.549
3.549 0.000 3.549
3.549 3.549 0.000
Na La Al Au
1 1 1 1
Direct
0.000 0.000 0.000
0.750 0.750 0.750
0.500 0.500 0.500
0.250 0.250 0.250
```

Summary:
total DFT energy (no corrections): -3.5705 eV/atom
symmetry: F-43m, No. 216
calculated density: 7.2 g/cm³

No. 11
First-principles (PBE) data for a geometry-optimized PrSmI2BrN structure, as listed in OQMD via LeMat-Bulk.

POSCAR file:
```
PrSmI2BrN
1.0
10.074 -2.034 0.000
10.074 2.034 0.000
-7.638 0.000 9.934
Pr Sm I Br N
2 2 4 2 2
Direct
0.071 0.071 0.462
0.929 0.929 0.538
0.363 0.363 0.215
0.637 0.637 0.785
0.275 0.275 0.363
0.470 0.470 0.769
0.530 0.530 0.231
0.725 0.725 0.637
0.176 0.176 0.002
0.824 0.824 0.998
0.075 0.075 0.655
0.925 0.925 0.345
```

Summary:
total DFT energy (no corrections): -5.3151 eV/atom
symmetry: C2/m, No. 12
calculated density: 5.2 g/cm³

No. 12
First-principles (PBE) data for a geometry-optimized KYZnO3 structure, as listed in OQMD via LeMat-Bulk.

POSCAR file:
```
KYZnO3
1.0
1.743 -5.962 0.000
1.743 5.962 0.000
0.000 0.000 9.048
K Y Zn O
2 2 2 6
Direct
0.220 0.780 0.750
0.780 0.220 0.250
0.500 0.500 0.000
0.500 0.500 0.500
0.059 0.941 0.250
0.941 0.059 0.750
0.118 0.882 0.055
0.118 0.882 0.445
0.460 0.540 0.250
0.540 0.460 0.750
0.882 0.118 0.555
0.882 0.118 0.945
```

Summary:
total DFT energy (no corrections): -6.1534 eV/atom
symmetry: Cmcm, No. 63
calculated density: 4.3 g/cm³

No. 13
First-principles (PBE) data for a geometry-optimized BaLiHoS3 structure, as listed in OQMD via LeMat-Bulk.

POSCAR file:
```
BaLiHoS3
1.0
2.043 -6.765 0.000
2.043 6.765 0.000
0.000 0.000 10.257
Ba Li Ho S
2 2 2 6
Direct
0.245 0.755 0.750
0.755 0.245 0.250
0.029 0.971 0.250
0.971 0.029 0.750
0.500 0.500 0.000
0.500 0.500 0.500
0.129 0.871 0.060
0.129 0.871 0.440
0.434 0.566 0.250
0.566 0.434 0.750
0.871 0.129 0.560
0.871 0.129 0.940
```

Summary:
total DFT energy (no corrections): -5.4188 eV/atom
symmetry: Cmcm, No. 63
calculated density: 4.7 g/cm³

No. 14
First-principles (PBE) data for a geometry-optimized NbBiPO structure, as listed in OQMD via LeMat-Bulk.

POSCAR file:
```
NbBiPO
1.0
4.013 0.000 0.000
0.000 4.013 0.000
0.000 0.000 9.055
Nb Bi P O
2 2 2 2
Direct
0.250 0.750 0.000
0.750 0.250 0.000
0.250 0.250 0.364
0.750 0.750 0.636
0.250 0.250 0.822
0.750 0.750 0.178
0.250 0.750 0.500
0.750 0.250 0.500
```

Summary:
total DFT energy (no corrections): -6.7527 eV/atom
symmetry: P4/nmm, No. 129
calculated density: 7.9 g/cm³

No. 15
First-principles (PBE) data for a geometry-optimized BaFeNiSe3 structure, as listed in OQMD via LeMat-Bulk.

POSCAR file:
```
BaFeNiSe3
1.0
2.016 -7.009 0.000
2.016 7.009 0.000
0.000 0.000 9.555
Ba Fe Ni Se
2 2 2 6
Direct
0.245 0.755 0.750
0.755 0.245 0.250
0.471 0.529 0.250
0.529 0.471 0.750
0.000 0.000 0.000
0.000 0.000 0.500
0.064 0.936 0.250
0.379 0.621 0.042
0.379 0.621 0.458
0.621 0.379 0.542
0.621 0.379 0.958
0.936 0.064 0.750
```

Summary:
total DFT energy (no corrections): -5.0380 eV/atom
symmetry: Cmcm, No. 63
calculated density: 6.0 g/cm³

No. 16
First-principles (PBE) data for a geometry-optimized NpZnIr structure, as listed in OQMD via LeMat-Bulk.

POSCAR file:
```
NpZnIr
1.0
0.000 3.159 3.159
3.159 0.000 3.159
3.159 3.159 0.000
Np Zn Ir
1 1 1
Direct
0.000 0.000 0.000
0.500 0.500 0.500
0.750 0.750 0.750
```

Summary:
formation energy: -0.084 eV per atom
symmetry: F-43m, No. 216
calculated density: 13.0 g/cm³

No. 17
First-principles (PBE) data for a geometry-optimized AcPrPO structure, as listed in OQMD via LeMat-Bulk.

POSCAR file:
```
AcPrPO
1.0
4.539 0.000 0.000
0.000 4.539 0.000
0.000 0.000 9.545
Ac Pr P O
2 2 2 2
Direct
0.250 0.250 0.116
0.750 0.750 0.884
0.250 0.750 0.500
0.750 0.250 0.500
0.250 0.250 0.690
0.750 0.750 0.310
0.250 0.750 0.000
0.750 0.250 0.000
```

Summary:
total DFT energy (no corrections): -6.7218 eV/atom
symmetry: P4/nmm, No. 129
calculated density: 7.0 g/cm³

No. 18
First-principles (PBE) data for a geometry-optimized LiPIrO structure, as listed in OQMD via LeMat-Bulk.

POSCAR file:
```
LiPIrO
1.0
3.403 0.000 0.000
0.000 6.009 0.000
0.000 0.000 5.469
Li P Ir O
2 2 2 2
Direct
0.000 0.125 0.000
0.000 0.875 0.500
0.000 0.306 0.465
0.000 0.694 0.965
0.500 0.484 0.679
0.500 0.516 0.179
0.500 0.242 0.948
0.500 0.758 0.448
```

Summary:
total DFT energy (no corrections): -6.0408 eV/atom
symmetry: Pmc2_1, No. 26
calculated density: 7.3 g/cm³

No. 19
First-principles (PBE) data for a geometry-optimized GdBeSO structure, as listed in OQMD via LeMat-Bulk.

POSCAR file:
```
GdBeSO
1.0
2.086 1.204 10.395
-2.086 1.204 10.395
0.000 -2.408 10.395
Gd Be S O
2 2 2 2
Direct
0.238 0.238 0.238
0.762 0.762 0.762
0.355 0.355 0.355
0.645 0.645 0.645
0.128 0.128 0.128
0.872 0.872 0.872
0.308 0.308 0.308
0.692 0.692 0.692
```

Summary:
total DFT energy (no corrections): -5.8993 eV/atom
symmetry: R-3m, No. 166
calculated density: 4.5 g/cm³

No. 20
First-principles (PBE) data for a geometry-optimized La2Pd structure, as listed in OQMD via LeMat-Bulk.

POSCAR file:
```
La2Pd
1.0
0.000 4.383 4.383
4.383 0.000 4.383
4.383 4.383 0.000
La Pd
4 2
Direct
0.000 0.000 0.000
0.000 0.000 0.500
0.000 0.500 0.000
0.500 0.000 0.000
0.375 0.375 0.375
0.625 0.625 0.625
```

Summary:
formation energy: 0.344 eV per atom
symmetry: Fd-3m, No. 227
calculated density: 7.6 g/cm³

No. 21
First-principles (PBE) data for a geometry-optimized TaInAg2Se4 structure, as listed in OQMD via LeMat-Bulk.

POSCAR file:
```
TaInAg2Se4
1.0
8.050 0.000 0.000
0.000 9.917 3.069
0.000 -9.917 3.069
Ta In Ag Se
2 2 4 8
Direct
0.250 0.116 0.884
0.750 0.884 0.116
0.250 0.694 0.078
0.750 0.078 0.694
0.000 0.036 0.036
0.250 0.630 0.376
0.500 0.036 0.036
0.750 0.376 0.630
0.004 0.103 0.343
0.250 0.028 0.584
0.250 0.772 0.739
0.496 0.103 0.343
0.504 0.343 0.103
0.750 0.584 0.028
0.750 0.739 0.772
0.996 0.343 0.103
```

Summary:
total DFT energy (no corrections): -4.7016 eV/atom
symmetry: Ama2, No. 40
calculated density: 5.6 g/cm³

No. 22
First-principles (PBE) data for a geometry-optimized Pr2GdIn3Pt2Au structure, as listed in OQMD via LeMat-Bulk.

POSCAR file:
```
Pr2GdIn3Pt2Au
1.0
4.022 0.000 0.000
0.000 6.762 3.916
0.000 -6.762 3.916
Pr Gd In Pt Au
2 1 3 2 1
Direct
0.000 0.206 0.794
0.000 0.794 0.206
0.000 0.618 0.618
0.500 0.209 0.468
0.500 0.468 0.209
0.500 0.944 0.944
0.500 0.542 0.867
0.500 0.867 0.542
0.000 0.209 0.209
```

Summary:
total DFT energy (no corrections): -5.0805 eV/atom
symmetry: Amm2, No. 38
calculated density: 10.7 g/cm³

No. 23
First-principles (PBE) data for a geometry-optimized YErCo2C2 structure, as listed in OQMD via LeMat-Bulk.

POSCAR file:
```
YErCo2C2
1.0
3.609 0.000 0.000
0.000 3.609 0.000
0.000 0.000 6.873
Y Er Co C
1 1 2 2
Direct
0.000 0.000 0.000
0.000 0.000 0.500
0.500 0.500 0.255
0.500 0.500 0.745
0.000 0.500 0.253
0.500 0.000 0.747
```

Summary:
total DFT energy (no corrections): -7.6075 eV/atom
symmetry: P-4m2, No. 115
calculated density: 7.4 g/cm³